# 1
Compound: Ba2ZnAgPt
Source: the Alexandria database
Functional: PBE-GGA
Structure: optimized geometry

Unit cell a=8.2537 b=4.7626 c=8.5724 alpha=90.00 beta=112.60 gamma=90.00
Element x y z (fractional)
Ba  0.0730  0.2500  0.2226
Ba  0.3582  0.7500  0.6603
Ba  0.6418  0.2500  0.3397
Ba  0.9270  0.7500  0.7774
Zn  0.2925  0.2500  0.9186
Zn  0.7075  0.7500  0.0814
Ag  0.3519  0.7500  0.0854
Ag  0.6481  0.2500  0.9146
Pt  0.0716  0.2500  0.6077
Pt  0.9284  0.7500  0.3923

Calculated values
As for the energy relative to the elements: -43.3 kJ/mol of atoms. The theoretical density is 6.86 Mg/m³. As for the space group: P2_1/m, No. 11. The relative energy among the computed polymorphs is 0 meV/atom. The volume comes out at 311.1 Å³ per cell. The total energy is -0.239 Ry/atom.

***

# 2
Compound: NdNbGa2
Source: the Alexandria database
Functional: PBE-GGA
Structure: optimized geometry

Unit cell a=3.5778 b=3.5778 c=6.4183 alpha=90.00 beta=90.00 gamma=90.00
Element x y z (fractional)
Nd  0.0000  0.0000  0.0000
Nb  0.0000  0.0000  0.5000
Ga  0.5000  0.5000  0.3016
Ga  0.5000  0.5000  0.6984

Calculated values
As for the energy relative to the elements: -31.1 kJ/mol of atoms. The theoretical density is 7.61 Mg/m³. As for the space group: P4/mmm, No. 123. The relative energy among the computed polymorphs is 0 meV/atom. The volume comes out at 82.2 Å³ per cell. The total energy is -0.408 Ry/atom.

***

# 3
Compound: CaTc3H
Source: the Alexandria database
Functional: PBE-GGA
Structure: optimized geometry

Unit cell a=5.0757 b=5.0757 c=5.0757 alpha=90.00 beta=90.00 gamma=90.00
Element x y z (fractional)
Ca  0.0000  0.0000  0.0000
Tc  0.0000  0.0000  0.5000
Tc  0.0000  0.5000  0.0000
Tc  0.5000  0.0000  0.0000
H  0.5000  0.5000  0.5000

Calculated values
The theoretical density is 4.26 Mg/m³. As for the space group: Pm-3m, No. 221. The relative energy among the computed polymorphs is 2634 meV/atom. The volume comes out at 130.8 Å³ per cell. The total energy is -0.297 Ry/atom.

***

# 4
Compound: La3Tl
Source: the Alexandria database
Functional: PBE-GGA
Structure: optimized geometry

Unit cell a=6.8336 b=6.8336 c=5.6852 alpha=90.00 beta=90.00 gamma=88.47
Element x y z (fractional)
La  0.0731  0.9269  0.7500
La  0.2013  0.4356  0.7500
La  0.4356  0.2013  0.2500
La  0.5644  0.7987  0.7500
La  0.7987  0.5644  0.2500
La  0.9269  0.0731  0.2500
Tl  0.2906  0.7094  0.2500
Tl  0.7094  0.2906  0.7500

Calculated values
As for the energy relative to the elements: -20.1 kJ/mol of atoms. The theoretical density is 7.77 Mg/m³. As for the space group: Cmcm, No. 63. The relative energy among the computed polymorphs is 35 meV/atom. The volume comes out at 265.4 Å³ per cell. The total energy is -0.330 Ry/atom.

***

# 5
Compound: CsSr2Ag2
Source: the Alexandria database
Functional: PBE-GGA
Structure: optimized geometry

Unit cell a=9.8315 b=9.8315 c=3.8880 alpha=90.00 beta=90.00 gamma=90.00
Element x y z (fractional)
Cs  0.0000  0.0000  0.0000
Cs  0.5000  0.5000  0.0000
Sr  0.1341  0.3659  0.0000
Sr  0.3659  0.8659  0.0000
Sr  0.6341  0.1341  0.0000
Sr  0.8659  0.6341  0.0000
Ag  0.1542  0.6542  0.5000
Ag  0.3458  0.1542  0.5000
Ag  0.6542  0.8458  0.5000
Ag  0.8458  0.3458  0.5000

Calculated values
As for the energy relative to the elements: -1.5 kJ/mol of atoms. The theoretical density is 4.63 Mg/m³. As for the space group: P4/mbm, No. 127. The relative energy among the computed polymorphs is 57 meV/atom. The volume comes out at 375.8 Å³ per cell. The total energy is -0.147 Ry/atom.

***

# 6
Compound: GaTeSe2
Source: the Alexandria database
Functional: PBE-GGA
Structure: optimized geometry

Unit cell a=3.8998 b=8.2927 c=8.3691 alpha=88.54 beta=77.44 gamma=77.50
Element x y z (fractional)
Ga  0.0000  0.0000  0.0000
Ga  0.2349  0.3249  0.2418
Te  0.0397  0.2591  0.7921
Te  0.9686  0.7900  0.7773
Se  0.3399  0.4461  0.9664
Se  0.4001  0.0176  0.1893
Se  0.6238  0.4086  0.3978
Se  0.7175  0.0555  0.6272

Calculated values
The theoretical density is 4.58 Mg/m³. As for the space group: P1, No. 1. The relative energy among the computed polymorphs is 16 meV/atom. The volume comes out at 257.8 Å³ per cell. The total energy is -0.264 Ry/atom.

***

# 7
Compound: LiCoPd6
Source: the Alexandria database
Functional: PBE-GGA
Structure: optimized geometry

Unit cell a=4.7544 b=4.7544 c=7.7634 alpha=114.20 beta=114.20 gamma=48.17
Element x y z (fractional)
Li  0.0000  0.0000  0.0000
Co  0.0000  0.0000  0.5000
Pd  0.2484  0.2484  0.3755
Pd  0.2511  0.2511  0.8748
Pd  0.4974  0.4974  0.2545
Pd  0.5026  0.5026  0.7455
Pd  0.7489  0.7489  0.1252
Pd  0.7516  0.7516  0.6245

Calculated values
As for the energy relative to the elements: -8.9 kJ/mol of atoms. The theoretical density is 10.01 Mg/m³. As for the space group: C2/m, No. 12. The relative energy among the computed polymorphs is 4 meV/atom. The volume comes out at 116.8 Å³ per cell. The total energy is -0.376 Ry/atom.

***

# 8
Compound: CdTc2Ag
Source: the Alexandria database
Functional: PBE-GGA
Structure: optimized geometry

Unit cell a=9.8089 b=9.8089 c=9.8089 alpha=16.45 beta=16.45 gamma=16.45
Element x y z (fractional)
Cd  0.0000  0.0000  0.0000
Tc  0.2489  0.2489  0.2489
Tc  0.7511  0.7511  0.7511
Ag  0.5000  0.5000  0.5000

Calculated values
As for the energy relative to the elements: 55.9 kJ/mol of atoms. The theoretical density is 10.48 Mg/m³. As for the space group: R-3m, No. 166. The volume comes out at 66.0 Å³ per cell. The total energy is -0.408 Ry/atom.